# 1
80
Lattice="-3.985 -4.456 -8.039 9.893 -1.574 0.129 -4.097 -3.815 8.308" Properties=species:S:1:pos:R:3 comment="Np3Mo5H12, optimized geometry, DFT PBE" dos_ef_per_ev_atom=0.959 sg="No. 230" pbc="T T T"
Np -1.554 -4.609 -1.876
Np -1.854 -6.237 1.255
Np 3.106 -7.104 -0.723
Np -1.610 -4.289 6.297
Np 3.420 -5.556 -5.898
Np -3.275 -5.050 -4.941
Np 5.085 -4.796 5.339
Np -1.296 -2.741 1.122
Np 0.209 -4.409 -4.942
Np 3.364 -5.236 2.275
Np 3.664 -3.609 -0.857
Np 1.602 -5.436 5.341
H 1.928 -6.295 0.918
H 0.462 -1.462 1.046
H 3.257 -1.490 -0.248
H -0.574 -3.196 -3.314
H 4.744 -6.218 3.641
H -0.496 -5.111 4.618
H -5.378 -6.553 -2.159
H 8.199 -2.251 0.473
H -0.529 -2.379 3.197
H 3.071 -3.862 5.652
H 1.348 -8.383 -0.648
H 2.306 -4.734 -4.220
H -0.156 -5.695 -3.142
H 4.511 -6.244 -4.146
H -2.631 -3.195 -0.621
H 2.384 -6.649 3.713
H -2.934 -3.627 -3.242
H -3.009 -5.559 -0.460
H 3.611 -6.341 5.753
H 4.441 -6.650 1.020
H 4.819 -4.286 0.859
H -3.813 -4.543 6.624
H 7.188 -3.292 2.557
H 1.222 -5.837 -6.235
H 5.623 -5.302 -6.226
H -0.464 -7.154 2.656
H 5.422 -2.326 -0.858
H -6.389 -7.594 -0.074
H 1.967 -4.150 3.541
H -2.701 -3.601 4.544
H 2.340 -7.466 -2.798
H -1.800 -3.504 -5.354
H 2.141 -5.131 -1.170
H 0.588 -4.008 6.633
H -0.331 -4.715 1.569
H -1.447 -8.355 0.646
H -1.261 -5.983 -5.253
H -2.649 -6.436 3.342
H 4.635 -5.610 -1.134
H 4.325 -3.714 3.611
H 4.459 -3.409 -2.943
H 2.306 -3.925 0.898
H -2.824 -4.235 1.533
H -3.612 -7.519 1.256
H -0.118 -3.550 -0.519
H 2.274 -2.692 -2.258
H -2.515 -6.131 -3.212
H -0.496 -5.920 -0.500
Mo 1.344 -7.304 2.342
Mo -3.331 -4.729 3.233
Mo 5.385 -3.168 2.208
Mo 4.946 -0.787 0.065
Mo 0.000 0.000 0.000
Mo -0.377 -7.744 -0.722
Mo 2.898 -2.694 4.219
Mo -2.049 -1.908 4.154
Mo 1.657 -5.756 -2.833
Mo 2.187 -2.101 1.121
Mo 0.905 -4.923 0.199
Mo -3.575 -6.677 -1.809
Mo 2.954 -3.015 -3.955
Mo -4.041 -4.136 0.135
Mo 0.467 -2.541 -1.944
Mo 0.153 -4.089 3.231
Mo -5.338 -6.877 1.256
Mo -1.993 -2.228 -4.019
Mo 5.141 -5.116 -2.834
Mo 7.148 -2.968 -0.858

=====

# 2
11
Lattice="-2.111 -2.543 -1.043 3.462 -3.556 1.692 -0.374 -1.705 4.944" Properties=species:S:1:pos:R:3 comment="NpMo2H8, optimized geometry, DFT PBE" dos_ef_per_ev_atom=1.101 sg="No. 12" pbc="T T T"
H 0.173 -6.435 3.867
H -0.099 -4.612 2.508
H 1.075 -3.191 3.085
H 0.803 -1.368 1.726
H 2.209 -5.262 2.626
H 1.351 -3.788 0.776
H -1.233 -2.541 2.967
H -0.375 -4.015 4.817
Np 0.000 0.000 0.000
Mo 1.025 -4.815 3.949
Mo -0.048 -2.988 1.644

=====

| no. | DFT total energy (eV per cell) | mass density (g/cm³) |
| --- | --- | --- |
| 1 | -529.4 | 10.3 |
| 2 | -61.1 | 8.7 |